{"formula": "InTcMo2", "functional": "PBE", "state": "relaxed", "cell": [[-1.880, -2.819, 4.075], [4.106, -2.186, -2.784], [2.177, 0.279, 1.706]], "species": ["In", "Mo", "Mo", "Tc"], "frac_coords": [[0.500, 0.000, 0.500], [0.000, 0.000, 0.000], [0.000, 0.500, 0.500], [0.500, 0.500, 0.000]], "spacegroup": "C2/m", "energy_ev_per_fu": -33.31, "dos_at_fermi_per_ev_cell": 4.45, "ef_ev_per_fu": 1.5, "density_g_cm3": 10.114}